Entry 1:
# Pm12Ni6Rh

A relaxed structure of Pm12Ni6Rh (PBE-GGA, Alexandria via LeMat-Bulk).

a = 8.172 Å, b = 8.172 Å, c = 8.172 Å
α = 97.97°, β = 97.97°, γ = 97.97°
Sites, in units of the cell vectors:
Pm1 0.946 0.324 0.091
Pm2 0.324 0.091 0.946
Pm3 0.183 0.411 0.575
Pm4 0.589 0.425 0.817
Pm5 0.091 0.946 0.324
Pm6 0.425 0.817 0.589
Pm7 0.817 0.589 0.425
Pm8 0.575 0.183 0.411
Pm9 0.909 0.054 0.676
Pm10 0.676 0.909 0.054
Pm11 0.411 0.575 0.183
Pm12 0.054 0.676 0.909
Rh1 0.000 0.000 0.000
Ni1 0.872 0.388 0.689
Ni2 0.128 0.612 0.311
Ni3 0.689 0.872 0.388
Ni4 0.388 0.689 0.872
Ni5 0.612 0.311 0.128
Ni6 0.311 0.128 0.612

Results
DFT formation energy in eV per atom: -0.1794
ρ in g cm⁻³: 6.90

=====

Entry 2:
# Pm8Ni2Rh

A relaxed structure of Pm8Ni2Rh (PBE-GGA, Alexandria via LeMat-Bulk).

a = 5.152 Å, b = 6.656 Å, c = 9.402 Å
α = 106.25°, β = 105.90°, γ = 90.00°
Sites, in units of the cell vectors:
Pm1 0.802 0.654 0.604
Pm2 0.198 0.346 0.396
Pm3 0.590 0.455 0.180
Pm4 0.035 0.795 0.070
Pm5 0.325 0.006 0.649
Pm6 0.965 0.205 0.930
Pm7 0.675 0.994 0.351
Pm8 0.410 0.545 0.820
Rh1 0.500 0.000 0.000
Ni1 0.823 0.259 0.646
Ni2 0.177 0.741 0.354

Results
DFT formation energy in eV per atom: -0.2347
Polymorph energy (0 for the lowest one) in eV/f.u.: 0.000
ρ in g cm⁻³: 7.73

=====

Entry 3:
# Pm2Ni3Rh

A relaxed structure of Pm2Ni3Rh (PBE-GGA, Alexandria via LeMat-Bulk).

a = 5.146 Å, b = 5.146 Å, c = 5.293 Å
α = 90.00°, β = 119.10°, γ = 119.98°
Sites, in units of the cell vectors:
Ni1 0.500 0.000 0.500
Ni2 0.500 0.500 0.500
Ni3 0.000 0.000 0.500
Pm1 0.754 0.377 0.130
Pm2 0.246 0.623 0.870
Rh1 0.000 0.000 0.000

Results
DFT formation energy in eV per atom: -0.4467
ρ in g cm⁻³: 9.40

=====

Entry 4:
# Pm4Ni2Rh

A relaxed structure of Pm4Ni2Rh (PBE-GGA, Alexandria via LeMat-Bulk).

a = 7.109 Å, b = 7.109 Å, c = 7.498 Å
α = 105.72°, β = 105.72°, γ = 77.11°
Sites, in units of the cell vectors:
Pm1 0.142 0.645 0.471
Pm2 0.623 0.623 0.345
Pm3 0.137 0.633 0.972
Pm4 0.123 0.123 0.343
Pm5 0.616 0.616 0.826
Pm6 0.120 0.120 0.830
Pm7 0.646 0.142 0.471
Pm8 0.633 0.138 0.972
Ni1 0.421 0.930 0.615
Ni2 0.342 0.342 0.195
Ni3 0.930 0.421 0.615
Ni4 0.333 0.333 0.698
Rh1 0.844 0.844 0.708
Rh2 0.840 0.840 0.190

Results
DFT formation energy in eV per atom: -0.3884
ρ in g cm⁻³: 7.67

=====

Entry 5:
# Pm8NiRh5

A relaxed structure of Pm8NiRh5 (PBE-GGA, Alexandria via LeMat-Bulk).

a = 7.627 Å, b = 7.627 Å, c = 7.627 Å
α = 109.57°, β = 109.27°, γ = 109.57°
Sites, in units of the cell vectors:
Pm1 0.125 0.749 0.994
Pm2 0.742 0.249 0.373
Pm3 0.124 0.751 0.493
Pm4 0.627 0.369 0.876
Pm5 0.245 0.251 0.376
Pm6 0.624 0.869 0.875
Pm7 0.507 0.631 0.258
Pm8 0.006 0.131 0.755
Rh1 0.749 0.624 0.627
Rh2 0.500 0.000 0.500
Rh3 0.373 0.122 0.997
Rh4 0.003 0.376 0.124
Rh5 0.876 0.878 0.251
Ni1 0.250 0.500 0.750

Results
DFT formation energy in eV per atom: -0.5939
ρ in g cm⁻³: 8.43

=====

Entry 6:
# PmNiRh

A relaxed structure of PmNiRh (PBE-GGA, Alexandria via LeMat-Bulk).

a = 6.259 Å, b = 4.008 Å, c = 4.583 Å
α = 90.00°, β = 90.00°, γ = 90.00°
Sites, in units of the cell vectors:
Rh1 0.362 0.500 0.750
Rh2 0.638 0.500 0.250
Pm1 0.272 0.000 0.250
Pm2 0.728 0.000 0.750
Ni1 0.000 0.500 0.500
Ni2 0.000 0.500 0.000

Results
DFT formation energy in eV per atom: -0.3942
Polymorph energy (0 for the lowest one) in eV/f.u.: 0.434
ρ in g cm⁻³: 8.86

=====

Entry 7:
# Pm8Ni5Rh

A relaxed structure of Pm8Ni5Rh (PBE-GGA, Alexandria via LeMat-Bulk).

a = 7.564 Å, b = 7.564 Å, c = 7.564 Å
α = 109.41°, β = 109.58°, γ = 109.41°
Sites, in units of the cell vectors:
Rh1 0.250 0.500 0.750
Pm1 0.627 0.865 0.876
Pm2 0.126 0.749 0.489
Pm3 0.622 0.363 0.874
Pm4 0.511 0.637 0.260
Pm5 0.011 0.135 0.762
Pm6 0.238 0.249 0.373
Pm7 0.740 0.251 0.378
Pm8 0.124 0.751 0.989
Ni1 0.998 0.375 0.126
Ni2 0.377 0.128 0.002
Ni3 0.500 0.000 0.500
Ni4 0.751 0.625 0.623
Ni5 0.874 0.872 0.249

Results
DFT formation energy in eV per atom: -0.2987
ρ in g cm⁻³: 7.76

=====

Entry 8:
# Pm2Ni2Rh

A relaxed structure of Pm2Ni2Rh (PBE-GGA, Alexandria via LeMat-Bulk).

a = 7.001 Å, b = 7.001 Å, c = 7.848 Å
α = 90.00°, β = 90.00°, γ = 90.00°
Sites, in units of the cell vectors:
Pm1 0.814 0.314 0.500
Pm2 0.814 0.314 0.000
Pm3 0.686 0.814 0.500
Pm4 0.314 0.186 0.500
Pm5 0.186 0.686 0.000
Pm6 0.686 0.814 0.000
Pm7 0.186 0.686 0.500
Pm8 0.314 0.186 0.000
Rh1 0.000 0.000 0.250
Rh2 0.500 0.500 0.750
Rh3 0.000 0.000 0.750
Rh4 0.500 0.500 0.250
Ni1 0.619 0.119 0.750
Ni2 0.119 0.381 0.750
Ni3 0.619 0.119 0.250
Ni4 0.881 0.619 0.250
Ni5 0.381 0.881 0.250
Ni6 0.381 0.881 0.750
Ni7 0.881 0.619 0.750
Ni8 0.119 0.381 0.250

Results
DFT formation energy in eV per atom: -0.3878
Polymorph energy (0 for the lowest one) in eV/f.u.: 0.221
ρ in g cm⁻³: 8.81

=====

Entry 9:
# PmNiRh

A relaxed structure of PmNiRh (PBE-GGA, Alexandria via LeMat-Bulk).

a = 5.124 Å, b = 5.277 Å, c = 5.277 Å
α = 62.50°, β = 60.95°, γ = 60.95°
Sites, in units of the cell vectors:
Rh1 0.500 0.000 0.500
Rh2 0.500 0.500 0.000
Ni1 0.500 0.000 0.000
Ni2 0.000 0.000 0.000
Pm1 0.121 0.629 0.629
Pm2 0.879 0.371 0.371

Results
DFT formation energy in eV per atom: -0.5387
Polymorph energy (0 for the lowest one) in eV/f.u.: 0.000
ρ in g cm⁻³: 9.78

=====

Entry 10:
# Pm5NiRh4

A relaxed structure of Pm5NiRh4 (PBE-GGA, Alexandria via LeMat-Bulk).

a = 3.500 Å, b = 3.500 Å, c = 17.713 Å
α = 90.00°, β = 90.00°, γ = 90.00°
Sites, in units of the cell vectors:
Pm1 0.500 0.500 0.099
Pm2 0.500 0.500 0.701
Pm3 0.500 0.500 0.299
Pm4 0.500 0.500 0.901
Pm5 0.500 0.500 0.500
Ni1 0.000 0.000 0.000
Rh1 0.000 0.000 0.601
Rh2 0.000 0.000 0.399
Rh3 0.000 0.000 0.197
Rh4 0.000 0.000 0.803

Results
DFT formation energy in eV per atom: -0.5986
ρ in g cm⁻³: 9.15

=====

Entry 11:
# Pm2Ni3Sb4Rh

A relaxed structure of Pm2Ni3Sb4Rh (PBE-GGA, Alexandria via LeMat-Bulk).

a = 4.512 Å, b = 4.512 Å, c = 10.037 Å
α = 90.00°, β = 90.00°, γ = 90.00°
Sites, in units of the cell vectors:
Pm1 0.500 0.000 0.257
Pm2 0.000 0.500 0.743
Sb1 0.000 0.000 0.000
Sb2 0.500 0.000 0.632
Sb3 0.500 0.500 0.000
Sb4 0.000 0.500 0.368
Ni1 0.000 0.500 0.120
Ni2 0.000 0.000 0.500
Ni3 0.500 0.000 0.880
Rh1 0.500 0.500 0.500

Results
Energy relative to the elements, uncorrected in eV/atom: -0.66
ρ in g cm⁻³: 8.58

=====

Entry 12:
# Pm2NiSb4Rh3

A relaxed structure of Pm2NiSb4Rh3 (PBE-GGA, Alexandria via LeMat-Bulk).

a = 4.523 Å, b = 4.523 Å, c = 10.456 Å
α = 90.00°, β = 90.00°, γ = 90.00°
Sites, in units of the cell vectors:
Sb1 0.000 0.000 0.000
Sb2 0.000 0.500 0.374
Sb3 0.500 0.500 0.000
Sb4 0.500 0.000 0.626
Rh1 0.000 0.000 0.500
Rh2 0.500 0.000 0.873
Rh3 0.000 0.500 0.127
Ni1 0.500 0.500 0.500
Pm1 0.500 0.000 0.262
Pm2 0.000 0.500 0.738

Results
Energy relative to the elements, uncorrected in eV/atom: -0.74
ρ in g cm⁻³: 8.89